Below is a relaxed Tb3Ce2PmDy6 crystal, with properties calculated at the PBE level.

a b c (Å): 6.1498 6.1498 11.7501
angles (deg): 95.01 95.01 120.00
Fractional positions:
Tb 0.0000 0.0000 0.0000
Tb 0.3338 0.6662 0.0000
Tb 0.6662 0.3338 0.0000
Ce 0.1667 0.8333 0.5000
Ce 0.8333 0.1667 0.5000
Pm 0.5000 0.5000 0.5000
Dy 0.0804 0.4164 0.2505
Dy 0.2477 0.2477 0.7495
Dy 0.4164 0.0804 0.2505
Dy 0.5836 0.9196 0.7495
Dy 0.7523 0.7523 0.2505
Dy 0.9196 0.5836 0.7495

VASP energy, Ry per atom: -0.3525
Fermi-level density of states, states/eV/atom: 1.808
Energy of formation from the pure elements, eV/atom: 0.048



Below is a relaxed NiSe2 crystal, with properties calculated at the PBE level.

a b c (Å): 2.7542 3.1594 12.9040
angles (deg): 90.00 90.00 90.00
Fractional positions:
Ni 0.0000 0.0000 0.0000
Ni 0.5000 0.5000 0.5000
Se 0.0000 0.0000 0.3774
Se 0.0000 0.0000 0.6226
Se 0.5000 0.5000 0.1226
Se 0.5000 0.5000 0.8774

VASP energy, Ry per atom: -0.3016
Uncorrected formation energy, meV per atom: 147
Fermi-level density of states, states/eV/atom: 0.907